Compound: Sb2PIrI
Source: Alexandria
Functional: PBE
Structure: relaxed

a = 5.117 Å, b = 5.117 Å, c = 5.460 Å
α = 90.00°, β = 90.00°, γ = 90.00°
Fractional positions:
P (0.500, 0.500, 0.500)
Ir (0.000, 0.000, 0.000)
Sb (0.000, 0.500, 0.000)
I (0.000, 0.000, 0.500)
Sb (0.500, 0.000, 0.000)

## Properties
For the density of states at the Fermi level, the calculation gives 1.3033 states/eV per atom. The magnetization is 0.00 μB/f.u. The calculation puts the final energy at -3.9657 eV/atom. The uncorrected formation energy is 0.847 eV per atom. The offset from the most stable computed form is 0.0 meV/atom.